A crystal of PtRhC2 relaxed with PBEsol. Source: the Alexandria database, functional meta-GGA SCAN.

Properties
The formation energy is 0.6559 eV per atom. Its space group is I-42d.

Cell lengths 4.607, 4.607, 9.180 Å; angles 90.00, 90.00, 90.00 degrees
Sites, in units of the cell vectors:
Pt 0.000 0.000 0.000
Pt 0.000 0.500 0.250
Pt 0.500 0.000 0.750
Pt 0.500 0.500 0.500
Rh 0.000 0.000 0.500
Rh 0.000 0.500 0.750
Rh 0.500 0.000 0.250
Rh 0.500 0.500 0.000
C 0.241 0.250 0.625
C 0.250 0.741 0.875
C 0.250 0.759 0.375
C 0.259 0.250 0.125
C 0.741 0.750 0.125
C 0.750 0.241 0.375
C 0.750 0.259 0.875
C 0.759 0.750 0.625



A crystal of Y3ZnSi relaxed with PBEsol. Source: the Alexandria database, functional meta-GGA SCAN.

Properties
Its formation energy without anion corrections is 0.125 eV per atom. Its space group is Pm-3m.

Cell lengths 5.197, 5.197, 5.197 Å; angles 90.00, 90.00, 90.00 degrees
Sites, in units of the cell vectors:
Y 0.000 0.000 0.500
Y 0.000 0.500 0.000
Y 0.500 0.000 0.000
Zn 0.000 0.000 0.000
Si 0.500 0.500 0.500



A crystal of Li2CaSi relaxed with PBEsol. Source: the Alexandria database, functional meta-GGA SCAN.

Properties
Its formation energy without anion corrections is -0.275 eV per atom. Its space group is F-43m.

Cell lengths 6.758, 6.758, 6.758 Å; angles 90.00, 90.00, 90.00 degrees
Sites, in units of the cell vectors:
Li 0.000 0.000 0.000
Li 0.000 0.500 0.500
Li 0.250 0.250 0.250
Li 0.250 0.750 0.750
Li 0.500 0.000 0.500
Li 0.500 0.500 0.000
Li 0.750 0.250 0.750
Li 0.750 0.750 0.250
Ca 0.000 0.000 0.500
Ca 0.000 0.500 0.000
Ca 0.500 0.000 0.000
Ca 0.500 0.500 0.500
Si 0.250 0.250 0.750
Si 0.250 0.750 0.250
Si 0.750 0.250 0.250
Si 0.750 0.750 0.750